{
  "formula": "Mg2InPd3",
  "functional": "GGA-PBE",
  "state": "optimized geometry",
  "lattice_angstrom": [[4.5517, 0.0000, 0.0000], [-2.2759, 3.9419, 0.0000], [0.0000, 0.0000, 11.1926]],
  "species": ["Mg", "Mg", "Mg", "Mg", "In", "In", "Pd", "Pd", "Pd", "Pd", "Pd", "Pd"],
  "frac_coords": [[0.0000, 0.0000, 0.0000], [0.0000, 0.0000, 0.5000], [0.3333, 0.6667, 0.1639], [0.6667, 0.3333, 0.8361], [0.3333, 0.6667, 0.6681], [0.6667, 0.3333, 0.3319], [0.0000, 0.0000, 0.2466], [0.0000, 0.0000, 0.7534], [0.3333, 0.6667, 0.4177], [0.3333, 0.6667, 0.9189], [0.6667, 0.3333, 0.0811], [0.6667, 0.3333, 0.5823]],
  "e_form_ev_per_fu": -4.1,
  "rho_g_cm3": 8.0,
  "volume_a3_per_cell": 200.8,
  "space_group": "P-3m1"
}